(1)
# CdAg2Au8

Crystalline CdAg2Au8 at its relaxed geometry (PBE, Alexandria).

Unit cell a=7.828 b=7.828 c=6.580 alpha=104.05 beta=104.05 gamma=30.88
Fractional positions:
1 Cd 0.000 0.000 0.000
2 Ag 0.274 0.274 0.366
3 Ag 0.726 0.726 0.634
4 Au 0.092 0.092 0.454
5 Au 0.183 0.183 0.910
6 Au 0.362 0.362 0.817
7 Au 0.454 0.454 0.274
8 Au 0.546 0.546 0.726
9 Au 0.638 0.638 0.183
10 Au 0.817 0.817 0.090
11 Au 0.908 0.908 0.546

Output
- total energy (eV per atom) = -3.05



(2)
# Cd5Ag4Au2

Crystalline Cd5Ag4Au2 at its relaxed geometry (PBE, Alexandria).

Unit cell a=6.620 b=15.973 c=4.160 alpha=90.00 beta=90.00 gamma=90.00
Fractional positions:
1 Cd 0.000 0.000 0.000
2 Cd 0.094 0.410 0.000
3 Cd 0.177 0.195 0.000
4 Cd 0.323 0.695 0.000
5 Cd 0.406 0.910 0.000
6 Cd 0.500 0.500 0.000
7 Cd 0.594 0.090 0.000
8 Cd 0.677 0.305 0.000
9 Cd 0.823 0.805 0.000
10 Cd 0.906 0.590 0.000
11 Ag 0.103 0.877 0.500
12 Ag 0.203 0.542 0.500
13 Ag 0.297 0.042 0.500
14 Ag 0.397 0.377 0.500
15 Ag 0.603 0.623 0.500
16 Ag 0.703 0.958 0.500
17 Ag 0.797 0.458 0.500
18 Ag 0.897 0.123 0.500
19 Au 0.010 0.705 0.500
20 Au 0.490 0.205 0.500
21 Au 0.510 0.795 0.500
22 Au 0.990 0.295 0.500

Output
- total energy (eV per atom) = -2.12